(1)
The following is a PBE calculation of a geometry-optimized RbPm2Mo2N6 structure, from Alexandria via LeMat-Bulk.

Cell lengths 6.6611, 6.5426, 6.9052 Å; angles 117.15, 87.68, 63.43 degrees
Element x y z (fractional)
1 Rb 0.5000 0.0000 0.5000
2 Pm 0.8258 0.3655 0.7922
3 Pm 0.1742 0.6345 0.2078
4 Mo 0.1716 0.7650 0.8112
5 Mo 0.8284 0.2350 0.1888
6 N 0.4123 0.7062 0.9377
7 N 0.9363 0.4474 0.1857
8 N 0.1582 0.8605 0.5949
9 N 0.0637 0.5526 0.8143
10 N 0.8418 0.1395 0.4051
11 N 0.5877 0.2938 0.0623

- V: 227.9 Å³/cell
- Raw formation energy: -0.51 eV/atom
- M_tot: 0.977 μB per cell

=====

(2)
The following is a PBE calculation of a geometry-optimized RbTl2HgAu structure, from Alexandria via LeMat-Bulk.

Cell lengths 5.6099, 5.6099, 6.5945 Å; angles 90.00, 90.00, 90.00 degrees
Element x y z (fractional)
1 Tl 0.0000 0.5000 0.0000
2 Tl 0.5000 0.0000 0.0000
3 Au 0.0000 0.0000 0.0000
4 Hg 0.5000 0.5000 0.5000
5 Rb 0.0000 0.0000 0.5000

- DFT formation energy: -1.2 kJ/mol of formula units
- Relative energy among the computed polymorphs: 0.12 eV/f.u.
- V: 207.5 Å³/cell
- M_tot: 0.000 μB per cell

=====

(3)
The following is a PBE calculation of a geometry-optimized LaTcCl2 structure, from Alexandria via LeMat-Bulk.

Cell lengths 4.0698, 4.5869, 4.5944 Å; angles 80.66, 90.00, 90.00 degrees
Element x y z (fractional)
1 Cl 0.0000 0.9556 0.9558
2 Cl 0.0000 0.5444 0.5442
3 Tc 0.5000 0.7500 0.7500
4 La 0.5000 0.2500 0.2500

- Relative energy among the computed polymorphs: 0.59 eV/f.u.
- V: 84.6 Å³/cell
- Raw formation energy: -0.61 eV/atom
- M_tot: 0.000 μB per cell

=====

Question: What is the formula in the third record?
Answer: LaTcCl2